[1]
First-principles (PBE) data for crystalline SrIn3 at its relaxed geometry, as listed in the Alexandria database.

Summary:
Space-group type ... Cmcm
E_form ... -83 kJ/mol of formula units

Lattice parameters (Å, degrees): 6.9778 6.9778 5.0030 90.00 90.00 99.66
Atoms (fractional coordinates):
In: 0.8525 0.3923 0.7500
In: 0.0890 0.0890 0.2500
In: 0.6077 0.1475 0.2500
In: 0.9110 0.9110 0.7500
In: 0.3923 0.8525 0.7500
In: 0.1475 0.6077 0.2500
Sr: 0.6633 0.6633 0.2500
Sr: 0.3367 0.3367 0.7500

[2]
First-principles (PBE) data for crystalline LaHgRu at its relaxed geometry, as listed in the Alexandria database.

Summary:
Space-group type ... C2/m
E_form ... -5 kJ/mol of formula units

Lattice parameters (Å, degrees): 5.3602 5.3602 6.3768 98.56 116.67 106.80
Atoms (fractional coordinates):
Ru: 0.7834 0.0358 0.8192
Ru: 0.2166 0.9642 0.1808
La: 0.2382 0.6585 0.8968
La: 0.7618 0.3415 0.1032
Hg: 0.5000 0.5000 0.5000
Hg: 0.0000 0.0000 0.5000

[3]
First-principles (PBE) data for crystalline Er4ZnCu3 at its relaxed geometry, as listed in the Alexandria database.

Summary:
Offset from the most stable computed form ... 25 meV per atom
Space-group type ... Pmm2
E_form ... -207 kJ/mol of formula units

Lattice parameters (Å, degrees): 3.6780 4.4917 10.3753 90.00 90.00 90.00
Atoms (fractional coordinates):
Cu: 0.0000 0.0000 0.4295
Cu: 0.5000 0.0000 0.9267
Cu: 0.0000 0.5000 0.5724
Er: 0.5000 0.5000 0.3643
Er: 0.0000 0.5000 0.8506
Er: 0.0000 0.0000 0.1442
Er: 0.5000 0.0000 0.6390
Zn: 0.5000 0.5000 0.0733

[4]
First-principles (PBE) data for crystalline MnVNi2P at its relaxed geometry, as listed in the Alexandria database.

Summary:
Space-group type ... P4/mmm
E_form ... 249 kJ/mol of formula units

Lattice parameters (Å, degrees): 4.0563 4.3378 4.0563 90.00 90.00 90.00
Each line ends with the local moment (μB).
Atoms (fractional coordinates):
Ni: 0.5000 0.0000 0.0000  -0.03
Ni: 0.0000 0.0000 0.5000  -0.10
Mn: 0.5000 0.5000 0.5000  0.46
V: 0.0000 0.5000 0.0000  -0.60
P: 0.0000 0.0000 0.0000  -0.01

[5]
First-principles (PBE) data for crystalline Gd2YS at its relaxed geometry, as listed in the Alexandria database.

Summary:
Space-group type ... R-3m
DFT total energy ... -10.62 eV per atom

Lattice parameters (Å, degrees): 3.7693 3.7693 9.6430 78.73 78.73 60.00
Each line ends with the local moment (μB).
Atoms (fractional coordinates):
Gd: 0.2722 0.2722 0.1833  7.08
Gd: 0.7278 0.7278 0.8167  7.08
Y: 0.5000 0.5000 0.5000  0.26
S: 0.0000 0.0000 0.0000  -0.04

[6]
First-principles (PBE) data for crystalline Cr5Cl at its relaxed geometry, as listed in the Alexandria database.

Summary:
Offset from the most stable computed form ... 0 meV per atom
Space-group type ... Cm

Lattice parameters (Å, degrees): 5.3014 5.3014 5.2490 76.01 76.01 30.66
Atoms (fractional coordinates):
Cr: 0.6713 0.6713 0.6653
Cr: 0.6159 0.6159 0.2483
Cr: 0.3326 0.3326 0.3596
Cr: 0.2811 0.2811 0.9037
Cr: 0.9531 0.9531 0.6130
Cl: 0.9794 0.9794 0.0434

[7]
First-principles (PBE) data for crystalline RhI2BrO at its relaxed geometry, as listed in the Alexandria database.

Summary:
Offset from the most stable computed form ... 933 meV per atom
Space-group type ... P4/mmm

Lattice parameters (Å, degrees): 5.7497 5.7497 3.9252 90.00 90.00 90.00
Each line ends with the local moment (μB).
Atoms (fractional coordinates):
I: 0.0000 0.5000 0.0000  0.09
I: 0.5000 0.0000 0.0000  0.09
Rh: 0.5000 0.5000 0.5000  1.51
O: 0.0000 0.0000 0.5000  0.02
Br: 0.0000 0.0000 0.0000  -0.02

[8]
First-principles (PBE) data for crystalline K2AgGe2 at its relaxed geometry, as listed in the Alexandria database.

Summary:
Offset from the most stable computed form ... 84 meV per atom
Space-group type ... I4/mmm
E_form ... 55 kJ/mol of formula units

Lattice parameters (Å, degrees): 3.8247 3.8247 10.8023 79.80 79.80 90.00
Atoms (fractional coordinates):
Ge: 0.2500 0.7500 0.5000
Ge: 0.7500 0.2500 0.5000
Ag: 0.0000 0.0000 0.0000
K: 0.3946 0.3946 0.2108
K: 0.6054 0.6054 0.7892

| no. | calculated density (kg/m³) |
| --- | --- |
| 1 | 5976 |
| 2 | 9873 |
| 3 | 8962 |
| 4 | 5915 |
| 5 | 6256 |
| 6 | 6736 |
| 7 | 5792 |
| 8 | 3596 |